Computed, not measured: crystalline LiYTc2 at its relaxed geometry at the PBE level of DFT.

Lattice parameters (Å, degrees): 2.8689 2.8689 9.5763 90.00 90.00 111.88
Closest atoms and distances in Å follow each position.
Atoms (fractional coordinates):
Li 0.0000 0.0000 0.0000  2 Tc 2.74, 4 Li 2.87
Y 0.5000 0.5000 0.3109  4 Y 2.87, 2 Tc 2.90
Tc 0.0000 0.0000 0.5627  2 Tc 2.54
Tc 0.5000 0.5000 0.7676  2 Tc 2.54, 2 Li 2.74

Computed properties:
magnetic moment = 0.000 μB/atom
density of states at the Fermi level = 4.15 states/eV/f.u.
formation energy = 442 meV per atom
symmetry = Cmm2, No. 35
polymorph energy (0 for the lowest one) = 30.7 kJ per mole of atoms

=====

Computed, not measured: crystalline LiY3Tc at its relaxed geometry at the PBE level of DFT.

Lattice parameters (Å, degrees): 5.4115 5.4115 5.4115 90.00 90.00 90.00
Closest atoms and distances in Å follow each position.
Atoms (fractional coordinates):
Li 0.0000 0.0000 0.0000  12 Y 3.83
Y 0.0000 0.5000 0.5000  2 Tc 2.71
Y 0.5000 0.0000 0.5000  2 Tc 2.71
Y 0.5000 0.5000 0.0000  2 Tc 2.71
Tc 0.5000 0.5000 0.5000  6 Y 2.71

Computed properties:
magnetic moment = 0.000 μB/atom
density of states at the Fermi level = 6.38 states/eV/f.u.
formation energy = 189 meV per atom
symmetry = Pm-3m, No. 221
polymorph energy (0 for the lowest one) = 0.0 kJ per mole of atoms

=====

Computed, not measured: crystalline LiYTc2 at its relaxed geometry at the PBE level of DFT.

Lattice parameters (Å, degrees): 5.4861 5.4861 2.8166 99.92 99.92 121.49
Closest atoms and distances in Å follow each position.
Atoms (fractional coordinates):
Li 0.0000 0.0000 0.0000  2 Y 2.68, 2 Li 2.82, 4 Tc 2.86
Y 0.5000 0.5000 0.0000  2 Li 2.68, 2 Y 2.82, 4 Tc 2.86
Tc 0.0000 0.5000 0.5000  4 Tc 2.68-2.82, 2 Li 2.86, 2 Y 2.86
Tc 0.5000 0.0000 0.5000  4 Tc 2.68-2.82, 2 Li 2.86, 2 Y 2.86

Computed properties:
magnetic moment = 0.000 μB/atom
density of states at the Fermi level = 3.29 states/eV/f.u.
formation energy = 364 meV per atom
symmetry = C2/m, No. 12
polymorph energy (0 for the lowest one) = 23.1 kJ per mole of atoms